1.
## ScSbRh3 (GGA-PBE)

Data for a relaxed ScSbRh3 crystal.

For the density of states at the Fermi level, the calculation gives 4.77 states/eV/cell. For the raw total energy, the calculation gives -7.002 eV per atom. The calculation puts the energy above the most stable polymorph in this dataset at 0.0000 eV/atom. Its space group is Imma, No. 74.

Cell and atoms, written as POSCAR:
```
ScSbRh3
1.0
6.223 1.357 -0.110
-1.794 6.112 0.110
-3.349 -3.062 4.472
Sc Sb Rh
2 2 6
Direct
0.975 0.725 0.750
0.025 0.275 0.250
0.500 0.500 0.000
0.500 0.000 0.500
0.500 0.312 0.312
0.000 0.688 0.188
0.500 0.688 0.688
0.000 0.312 0.812
0.714 0.964 0.250
0.286 0.036 0.750
```

***

2.
## ScSb4Rh (GGA-PBE)

Data for a relaxed ScSb4Rh crystal.

For the density of states at the Fermi level, the calculation gives 4.45 states/eV/cell. For the raw total energy, the calculation gives -4.596 eV per atom. Its space group is F-43m, No. 216.

Cell and atoms, written as POSCAR:
```
ScSb4Rh
1.0
-4.408 2.270 3.424
-3.625 4.280 -2.203
-5.753 -1.278 -1.257
Sc Sb Rh
1 4 1
Direct
0.750 0.750 0.750
0.876 0.375 0.375
0.375 0.375 0.876
0.375 0.876 0.375
0.375 0.375 0.375
0.000 0.000 0.000
```

***

3.
## Sc2SbRh (GGA-PBE)

Data for a relaxed Sc2SbRh crystal.

For the density of states at the Fermi level, the calculation gives 3.13 states/eV/cell. For the raw total energy, the calculation gives -6.805 eV per atom. Its space group is C2/m, No. 12.

Cell and atoms, written as POSCAR:
```
Sc2SbRh
1.0
-0.231 5.615 -4.885
-2.385 -3.821 -0.133
-3.226 2.040 -0.560
Rh Sb Sc
1 1 2
Direct
0.000 0.500 0.500
0.500 0.500 0.000
0.000 0.000 0.000
0.500 0.000 0.500
```

***

Which of these has the highest raw total energy?
ScSb4Rh

***

The highest raw total energy belongs to which entry?
ScSb4Rh

***

Which value of raw total energy does entry 2 give?
-4.596 eV per atom